Material: BeHgPt3
Method: DFT, GGA-PBE
State: relaxed

Cell lengths 5.207, 7.350, 8.687 Å; angles 90.00, 90.00, 90.00 degrees
Fractional positions:
Be  0.023  0.250  0.036
Be  0.477  0.750  0.536
Be  0.523  0.250  0.464
Be  0.977  0.750  0.964
Hg  0.000  0.000  0.500
Hg  0.000  0.500  0.500
Hg  0.500  0.000  0.000
Hg  0.500  0.500  0.000
Pt  0.027  0.063  0.832
Pt  0.027  0.437  0.832
Pt  0.198  0.250  0.277
Pt  0.302  0.750  0.777
Pt  0.473  0.563  0.332
Pt  0.473  0.937  0.332
Pt  0.527  0.063  0.668
Pt  0.527  0.437  0.668
Pt  0.698  0.250  0.223
Pt  0.802  0.750  0.723
Pt  0.973  0.563  0.168
Pt  0.973  0.937  0.168

Summary:
Space-group type: Pnma, No. 62
DFT total energy (eV per atom): -4.556
Energy relative to the elements (eV per atom): -0.13
D(E_F) (states/eV per atom): 0.56
ΔE to the lowest computed polymorph (kJ/mol of formula units): 86